1.
Compound: Sm4Cd5Ni2
Source: Alexandria via LeMat-Bulk
Functional: PBE-GGA
Structure: relaxed

```
Sm4Cd5Ni2
1.0
7.735 0.000 0.000
0.000 3.650 0.000
-0.618 0.000 9.551
Sm Cd Ni
4 5 2
Cartesian
1.070 0.000 3.292 Sm
1.135 0.000 9.026 Sm
5.983 0.000 0.525 Sm
6.047 0.000 6.259 Sm
1.019 1.825 6.215 Cd
3.354 1.825 1.716 Cd
3.559 1.825 4.776 Cd
3.764 1.825 7.835 Cd
6.099 1.825 3.336 Cd
0.420 1.825 1.239 Ni
6.697 1.825 8.312 Ni
```

## Properties
As for the crystal system: monoclinic. Its total magnetization is 0.00 μB/f.u. The calculation puts the total DFT energy (no corrections) at -38.664 eV/cell.



2.
Compound: BeF2
Source: Alexandria via LeMat-Bulk
Functional: PBE-GGA
Structure: relaxed

```
BeF2
1.0
6.601 3.811 4.772
-6.601 3.811 4.772
0.000 -7.622 4.772
Be F
12 24
Cartesian
-1.505 -2.613 5.652 Be
-3.016 0.003 5.652 Be
-1.510 -2.610 8.663 Be
-3.016 -0.003 8.663 Be
1.505 -2.613 5.652 Be
-1.510 2.610 5.652 Be
1.510 -2.610 8.663 Be
-1.505 2.613 8.663 Be
3.016 0.003 5.652 Be
1.510 2.610 5.652 Be
3.016 -0.003 8.663 Be
1.505 2.613 8.663 Be
-2.326 -3.593 4.772 F
-4.275 -0.218 4.772 F
-1.970 -1.138 5.406 F
-1.720 -2.978 7.158 F
-3.439 0.000 7.158 F
0.000 -2.736 5.283 F
-2.369 1.368 5.283 F
2.326 -3.593 4.772 F
-1.948 3.811 4.772 F
-2.369 -1.368 9.033 F
1.970 -1.138 5.406 F
0.000 2.275 5.406 F
1.720 -2.978 7.158 F
-1.720 2.978 7.158 F
0.000 -2.275 8.909 F
-1.970 1.138 8.909 F
2.369 1.368 5.283 F
4.275 -0.218 4.772 F
1.948 3.811 4.772 F
2.369 -1.368 9.033 F
0.000 2.736 9.033 F
3.439 0.000 7.158 F
1.720 2.978 7.158 F
1.970 1.138 8.909 F
```

## Properties
As for the crystal system: trigonal. Its total magnetization is 0.00 μB/f.u. The value obtained for the uncorrected formation energy is -3.27 eV/atom. The value obtained for the energy above the most stable polymorph in this dataset is 0.002 eV/atom.



3.
Compound: HoAl2Ag
Source: Alexandria via LeMat-Bulk
Functional: PBE-GGA
Structure: relaxed

```
HoAl2Ag
1.0
2.188 1.263 5.072
-2.188 1.263 5.072
0.000 -2.526 5.072
Ho Al Ag
1 2 1
Cartesian
0.000 0.000 0.000 Ho
0.000 0.000 3.265 Al
0.000 0.000 11.951 Al
0.000 0.000 7.608 Ag
```

## Properties
As for the crystal system: trigonal. Its total magnetization is 0.00 μB/f.u. The calculation puts the total DFT energy (no corrections) at -16.017 eV/cell.